1.
Entry from Alexandria via LeMat-Bulk: crystalline Ca4Sn2N at its relaxed geometry (PBE). Values from VASP.

Quantum ESPRESSO input file:
```
&SYSTEM
  ibrav = 0, nat = 7, ntyp = 3
/
ATOMIC_SPECIES
Ca 40.08 Ca.upf
Sn 118.71 Sn.upf
N 14.01 N.upf
CELL_PARAMETERS angstrom
2.608 -12.308 0.000
2.608 12.308 0.000
0.000 0.000 3.431
ATOMIC_POSITIONS crystal
Ca 0.061 0.939 0.000
Ca 0.203 0.797 0.500
Ca 0.797 0.203 0.500
Ca 0.939 0.061 0.000
Sn 0.333 0.667 0.000
Sn 0.667 0.333 0.000
N 0.000 0.000 0.500
```

Energy above the lowest structure with this stoichiometry, meV per atom: 148
Formation energy from raw total energies, eV/atom: -0.4603
Calculated volume, Å³ per cell: 220.3

=====

2.
Entry from Alexandria via LeMat-Bulk: crystalline BaCdTc3 at its relaxed geometry (PBE). Values from VASP.

Quantum ESPRESSO input file:
```
&SYSTEM
  ibrav = 0, nat = 5, ntyp = 3
/
ATOMIC_SPECIES
Ba 137.33 Ba.upf
Cd 112.41 Cd.upf
Tc 98.00 Tc.upf
CELL_PARAMETERS angstrom
5.052 0.000 0.000
0.000 5.052 0.000
0.000 0.000 5.052
ATOMIC_POSITIONS crystal
Ba 0.000 0.000 0.000
Cd 0.500 0.500 0.500
Tc 0.000 0.000 0.500
Tc 0.000 0.500 0.000
Tc 0.500 0.000 0.000
```

Energy above the lowest structure with this stoichiometry, meV per atom: 825
Calculated volume, Å³ per cell: 128.9